Ba5SrCa: optimized geometry, PBE.

extended XYZ file:
```
14
Lattice="12.8441 0.0373 3.8079 4.1102 12.1687 3.8079 8.5523 6.1571 9.3648" Properties=species:S:1:pos:R:3 pbc="T T T"
Ba 13.6917 10.0137 6.9012
Ba 9.7751 11.6545 7.6670
Ba 18.1163 12.8860 11.5836
Ba 12.6914 4.7584 6.1491
Ba 7.0768 9.7119 4.6311
Ba 18.4298 8.6512 12.3494
Ba 12.8152 13.6047 10.8315
Ba 7.3903 5.4771 5.3969
Ba 15.7314 6.7086 9.3135
Ba 11.8149 8.3494 10.0793
Sr 0.0000 0.0000 0.0000
Sr 4.2761 3.0785 4.6824
Ca 10.3756 7.9752 6.1491
Ca 15.1310 10.3879 10.8315
```

## Properties
DFT total energy	-1.75	eV per atom
total moment	0.00	μB per cell
formation enthalpy at 0 K	0.14	eV/atom
space-group type	C2/c, No. 15
density of states at the Fermi level	1.37	states/eV per atom
E above lowest polymorph	9	meV per atom